No. 1
CaY2Mg | meta-GGA SCAN | single point on PBEsol structure

Results
As for the density: 3.28 g cm⁻³. The calculated total energy is -17.514 eV/atom. As for the symmetry: Pmm2. For the volume, the calculation gives 122.61 Å³ per cell.

Structure (CIF):
```
data_CaY2Mg
_space_group_name_H-M_alt 'P 1'
_space_group_IT_number 1
_space_group_name_Hall 'P 1'
_cell_length_a 3.491
_cell_length_b 4.991
_cell_length_c 7.038
_cell_angle_alpha 90.00
_cell_angle_beta 90.00
_cell_angle_gamma 90.00
loop_
_atom_site_label
_atom_site_type_symbol
_atom_site_fract_x
_atom_site_fract_y
_atom_site_fract_z
_atom_site_occupancy
Ca1 Ca 0.000 0.000 0.000 1
Y1 Y 0.000 0.000 0.489 1
Y2 Y 0.500 0.500 0.724 1
Mg1 Mg 0.500 0.500 0.255 1
```



No. 2
GaAgC2 | meta-GGA SCAN | single point on PBEsol structure

Results
As for the density: 6.30 g cm⁻³. The calculated total energy is -15.328 eV/atom. As for the symmetry: I-42d. For the volume, the calculation gives 106.23 Å³ per cell.

Structure (CIF):
```
data_GaAgC2
_space_group_name_H-M_alt 'P 1'
_space_group_IT_number 1
_space_group_name_Hall 'P 1'
_cell_length_a 5.706
_cell_length_b 5.706
_cell_length_c 5.706
_cell_angle_alpha 130.05
_cell_angle_beta 130.05
_cell_angle_gamma 73.32
loop_
_atom_site_label
_atom_site_type_symbol
_atom_site_fract_x
_atom_site_fract_y
_atom_site_fract_z
_atom_site_occupancy
Ga1 Ga 0.000 0.000 0.000 1
Ga2 Ga 0.750 0.250 0.500 1
Ag1 Ag 0.250 0.750 0.500 1
Ag2 Ag 0.500 0.500 0.000 1
C1 C 0.108 0.625 0.983 1
C2 C 0.375 0.358 0.483 1
C3 C 0.642 0.125 0.017 1
C4 C 0.875 0.892 0.517 1
```



No. 3
Zr2Zn | meta-GGA SCAN | single point on PBEsol structure

Results
As for the density: 7.15 g cm⁻³. The calculated total energy is -24.899 eV/atom. As for the symmetry: P-3m1. For the volume, the calculation gives 57.58 Å³ per cell.

Structure (CIF):
```
data_Zr2Zn
_space_group_name_H-M_alt 'P 1'
_space_group_IT_number 1
_space_group_name_Hall 'P 1'
_cell_length_a 4.876
_cell_length_b 4.876
_cell_length_c 2.797
_cell_angle_alpha 90.00
_cell_angle_beta 90.00
_cell_angle_gamma 120.00
loop_
_atom_site_label
_atom_site_type_symbol
_atom_site_fract_x
_atom_site_fract_y
_atom_site_fract_z
_atom_site_occupancy
Zr1 Zr 0.333 0.667 0.288 1
Zr2 Zr 0.667 0.333 0.712 1
Zn1 Zn 0.000 0.000 0.000 1
```



No. 4
Mo2RuPt | meta-GGA SCAN | single point on PBEsol structure

Results
As for the density: 13.94 g cm⁻³. As for the symmetry: Cmmm. For the volume, the calculation gives 58.13 Å³ per cell. The calculation puts the energy relative to the lowest polymorph listed for this composition at 54.8 meV/atom.

Structure (CIF):
```
data_Mo2RuPt
_space_group_name_H-M_alt 'P 1'
_space_group_IT_number 1
_space_group_name_Hall 'P 1'
_cell_length_a 4.759
_cell_length_b 4.759
_cell_length_c 2.731
_cell_angle_alpha 90.00
_cell_angle_beta 90.00
_cell_angle_gamma 109.98
loop_
_atom_site_label
_atom_site_type_symbol
_atom_site_fract_x
_atom_site_fract_y
_atom_site_fract_z
_atom_site_occupancy
Mo1 Mo 0.000 0.500 0.000 1
Mo2 Mo 0.500 0.000 0.000 1
Ru1 Ru 0.000 0.000 0.500 1
Pt1 Pt 0.500 0.500 0.500 1
```



No. 5
SrAg2Hg | meta-GGA SCAN | single point on PBEsol structure

Results
As for the density: 8.48 g cm⁻³. The calculated total energy is -38.605 eV/atom. As for the symmetry: Cm. For the volume, the calculation gives 98.68 Å³ per cell.

Structure (CIF):
```
data_SrAg2Hg
_space_group_name_H-M_alt 'P 1'
_space_group_IT_number 1
_space_group_name_Hall 'P 1'
_cell_length_a 4.723
_cell_length_b 4.723
_cell_length_c 5.794
_cell_angle_alpha 114.24
_cell_angle_beta 114.24
_cell_angle_gamma 60.13
loop_
_atom_site_label
_atom_site_type_symbol
_atom_site_fract_x
_atom_site_fract_y
_atom_site_fract_z
_atom_site_occupancy
Sr1 Sr 0.000 0.000 0.000 1
Ag1 Ag 0.481 0.481 0.443 1
Ag2 Ag 0.791 0.791 0.373 1
Hg1 Hg 0.211 0.211 0.633 1
```



No. 6
NbCl2O | meta-GGA SCAN | single point on PBEsol structure

Results
As for the density: 3.67 g cm⁻³. As for the symmetry: I-42d. The calculation puts the uncorrected formation energy at -1686 meV/atom. For the volume, the calculation gives 162.55 Å³ per cell.

Structure (CIF):
```
data_NbCl2O
_space_group_name_H-M_alt 'P 1'
_space_group_IT_number 1
_space_group_name_Hall 'P 1'
_cell_length_a 6.760
_cell_length_b 6.760
_cell_length_c 6.760
_cell_angle_alpha 94.71
_cell_angle_beta 94.71
_cell_angle_gamma 146.69
loop_
_atom_site_label
_atom_site_type_symbol
_atom_site_fract_x
_atom_site_fract_y
_atom_site_fract_z
_atom_site_occupancy
Nb1 Nb 0.000 0.000 0.000 1
Nb2 Nb 0.750 0.250 0.500 1
Cl1 Cl 0.375 0.222 0.347 1
Cl2 Cl 0.778 0.125 0.153 1
Cl3 Cl 0.875 0.028 0.653 1
Cl4 Cl 0.972 0.625 0.847 1
O1 O 0.250 0.750 0.500 1
O2 O 0.500 0.500 0.000 1
```



No. 7
LiInMo2O8 | meta-GGA SCAN | single point on PBEsol structure

Results
As for the density: 5.39 g cm⁻³. As for the symmetry: C2/c. The calculation puts the uncorrected formation energy at -2130 meV/atom. For the volume, the calculation gives 272.23 Å³ per cell.

Structure (CIF):
```
data_LiInMo2O8
_space_group_name_H-M_alt 'P 1'
_space_group_IT_number 1
_space_group_name_Hall 'P 1'
_cell_length_a 7.460
_cell_length_b 7.460
_cell_length_c 4.981
_cell_angle_alpha 90.96
_cell_angle_beta 90.96
_cell_angle_gamma 100.75
loop_
_atom_site_label
_atom_site_type_symbol
_atom_site_fract_x
_atom_site_fract_y
_atom_site_fract_z
_atom_site_occupancy
Li1 Li 0.084 0.916 0.750 1
Li2 Li 0.916 0.084 0.250 1
In1 In 0.407 0.593 0.250 1
In2 In 0.593 0.407 0.750 1
Mo1 Mo 0.073 0.389 0.750 1
Mo2 Mo 0.389 0.073 0.250 1
Mo3 Mo 0.611 0.927 0.750 1
Mo4 Mo 0.927 0.611 0.250 1
O1 O 0.057 0.667 0.956 1
O2 O 0.064 0.182 0.593 1
O3 O 0.151 0.552 0.433 1
O4 O 0.182 0.064 0.093 1
O5 O 0.312 0.441 0.888 1
O6 O 0.333 0.943 0.544 1
O7 O 0.441 0.312 0.388 1
O8 O 0.448 0.849 0.067 1
O9 O 0.552 0.151 0.933 1
O10 O 0.559 0.688 0.612 1
O11 O 0.667 0.057 0.456 1
O12 O 0.688 0.559 0.112 1
O13 O 0.818 0.936 0.907 1
O14 O 0.849 0.448 0.567 1
O15 O 0.936 0.818 0.407 1
O16 O 0.943 0.333 0.044 1
```



No. 8
Cd2InHg | meta-GGA SCAN | single point on PBEsol structure

Results
As for the density: 10.09 g cm⁻³. As for the symmetry: Cm. For the volume, the calculation gives 88.94 Å³ per cell. The calculation puts the energy relative to the lowest polymorph listed for this composition at 19.8 meV/atom.

Structure (CIF):
```
data_Cd2InHg
_space_group_name_H-M_alt 'P 1'
_space_group_IT_number 1
_space_group_name_Hall 'P 1'
_cell_length_a 5.309
_cell_length_b 5.309
_cell_length_c 5.624
_cell_angle_alpha 101.59
_cell_angle_beta 101.59
_cell_angle_gamma 35.03
loop_
_atom_site_label
_atom_site_type_symbol
_atom_site_fract_x
_atom_site_fract_y
_atom_site_fract_z
_atom_site_occupancy
Cd1 Cd 0.000 0.000 0.000 1
Cd2 Cd 0.744 0.744 0.243 1
In1 In 0.498 0.498 0.497 1
Hg1 Hg 0.253 0.253 0.757 1
```



No. 9
Cr2MoPt | meta-GGA SCAN | single point on PBEsol structure

Results
As for the density: 12.34 g cm⁻³. The calculated total energy is -35.387 eV/atom. As for the symmetry: Cm. For the volume, the calculation gives 53.16 Å³ per cell.

Structure (CIF):
```
data_Cr2MoPt
_space_group_name_H-M_alt 'P 1'
_space_group_IT_number 1
_space_group_name_Hall 'P 1'
_cell_length_a 4.627
_cell_length_b 4.627
_cell_length_c 4.636
_cell_angle_alpha 98.40
_cell_angle_beta 98.40
_cell_angle_gamma 32.81
loop_
_atom_site_label
_atom_site_type_symbol
_atom_site_fract_x
_atom_site_fract_y
_atom_site_fract_z
_atom_site_occupancy
Cr1 Cr 0.000 0.000 0.000 1
Cr2 Cr 0.748 0.748 0.237 1
Mo1 Mo 0.506 0.506 0.490 1
Pt1 Pt 0.257 0.257 0.758 1
```



No. 10
MnCu | meta-GGA SCAN | single point on PBEsol structure

Results
As for the density: 6.79 g cm⁻³. The calculated total energy is -16.450 eV/atom. As for the symmetry: P6_3/mmc. For the volume, the calculation gives 57.97 Å³ per cell.

Structure (CIF):
```
data_MnCu
_space_group_name_H-M_alt 'P 1'
_space_group_IT_number 1
_space_group_name_Hall 'P 1'
_cell_length_a 3.761
_cell_length_b 3.761
_cell_length_c 4.733
_cell_angle_alpha 90.00
_cell_angle_beta 90.00
_cell_angle_gamma 120.00
loop_
_atom_site_label
_atom_site_type_symbol
_atom_site_fract_x
_atom_site_fract_y
_atom_site_fract_z
_atom_site_occupancy
Mn1 Mn 0.333 0.667 0.250 1
Mn2 Mn 0.667 0.333 0.750 1
Cu1 Cu 0.000 0.000 0.000 1
Cu2 Cu 0.000 0.000 0.500 1
```



No. 11
K3NbSi | meta-GGA SCAN | single point on PBEsol structure

Results
As for the density: 1.62 g cm⁻³. As for the symmetry: Pm-3m. The calculation puts the uncorrected formation energy at 1243 meV/atom. For the volume, the calculation gives 244.84 Å³ per cell.

Structure (CIF):
```
data_K3NbSi
_space_group_name_H-M_alt 'P 1'
_space_group_IT_number 1
_space_group_name_Hall 'P 1'
_cell_length_a 6.256
_cell_length_b 6.256
_cell_length_c 6.256
_cell_angle_alpha 90.00
_cell_angle_beta 90.00
_cell_angle_gamma 90.00
loop_
_atom_site_label
_atom_site_type_symbol
_atom_site_fract_x
_atom_site_fract_y
_atom_site_fract_z
_atom_site_occupancy
K1 K 0.000 0.000 0.500 1
K2 K 0.000 0.500 0.000 1
K3 K 0.500 0.000 0.000 1
Nb1 Nb 0.500 0.500 0.500 1
Si1 Si 0.000 0.000 0.000 1
```



No. 12
LiAgAs | meta-GGA SCAN | single point on PBEsol structure

Results
As for the density: 6.54 g cm⁻³. As for the symmetry: Imm2. For the volume, the calculation gives 48.19 Å³ per cell. The calculation puts the energy relative to the lowest polymorph listed for this composition at 35.9 meV/atom.

Structure (CIF):
```
data_LiAgAs
_space_group_name_H-M_alt 'P 1'
_space_group_IT_number 1
_space_group_name_Hall 'P 1'
_cell_length_a 4.679
_cell_length_b 4.679
_cell_length_c 4.679
_cell_angle_alpha 141.49
_cell_angle_beta 130.00
_cell_angle_gamma 64.83
loop_
_atom_site_label
_atom_site_type_symbol
_atom_site_fract_x
_atom_site_fract_y
_atom_site_fract_z
_atom_site_occupancy
Li1 Li 0.000 0.000 0.000 1
Ag1 Ag 0.336 0.336 0.000 1
As1 As 0.669 0.669 0.000 1
```



No. 13
NbPd3 | meta-GGA SCAN | single point on PBEsol structure

Results
As for the density: 11.41 g cm⁻³. The calculated total energy is -33.316 eV/atom. As for the symmetry: I4/mmm. For the volume, the calculation gives 59.96 Å³ per cell.

Structure (CIF):
```
data_NbPd3
_space_group_name_H-M_alt 'P 1'
_space_group_IT_number 1
_space_group_name_Hall 'P 1'
_cell_length_a 4.837
_cell_length_b 4.837
_cell_length_c 4.837
_cell_angle_alpha 132.71
_cell_angle_beta 132.71
_cell_angle_gamma 69.11
loop_
_atom_site_label
_atom_site_type_symbol
_atom_site_fract_x
_atom_site_fract_y
_atom_site_fract_z
_atom_site_occupancy
Nb1 Nb 0.000 0.000 0.000 1
Pd1 Pd 0.250 0.750 0.500 1
Pd2 Pd 0.500 0.500 0.000 1
Pd3 Pd 0.750 0.250 0.500 1
```



No. 14
OsC2 | meta-GGA SCAN | single point on PBEsol structure

Results
As for the density: 12.78 g cm⁻³. As for the symmetry: I4/mmm. For the volume, the calculation gives 27.83 Å³ per cell. The calculation puts the energy relative to the lowest polymorph listed for this composition at 761.8 meV/atom.

Structure (CIF):
```
data_OsC2
_space_group_name_H-M_alt 'P 1'
_space_group_IT_number 1
_space_group_name_Hall 'P 1'
_cell_length_a 3.572
_cell_length_b 3.572
_cell_length_c 3.572
_cell_angle_alpha 127.51
_cell_angle_beta 127.51
_cell_angle_gamma 77.43
loop_
_atom_site_label
_atom_site_type_symbol
_atom_site_fract_x
_atom_site_fract_y
_atom_site_fract_z
_atom_site_occupancy
Os1 Os 0.000 0.000 0.000 1
C1 C 0.378 0.378 0.000 1
C2 C 0.622 0.622 0.000 1
```